No. 1
Material: Pr2Th2Bi5
Method: DFT, PBE
State: optimized geometry

Cell and atoms, written as POSCAR:
```
Pr2Th2Bi5
1.0
8.151 -4.292 0.000
8.151 4.292 0.000
0.000 0.000 8.642
Pr Th Bi
4 4 10
direct
0.153 0.847 0.845 Pr
0.347 0.653 0.345 Pr
0.653 0.347 0.655 Pr
0.847 0.153 0.155 Pr
0.193 0.193 0.500 Th
0.307 0.307 0.000 Th
0.693 0.693 0.000 Th
0.807 0.807 0.500 Th
0.000 0.000 0.500 Bi
0.013 0.701 0.154 Bi
0.201 0.513 0.654 Bi
0.299 0.987 0.154 Bi
0.487 0.799 0.654 Bi
0.500 0.500 0.000 Bi
0.513 0.201 0.346 Bi
0.701 0.013 0.846 Bi
0.799 0.487 0.346 Bi
0.987 0.299 0.846 Bi
```

Computed properties:
* energy of formation from the pure elements: -668 meV per atom
* total DFT energy (no corrections): -0.407 Ry/atom
* SG: Cmce (64)


No. 2
Material: PrThBi2
Method: DFT, PBE
State: optimized geometry

Cell and atoms, written as POSCAR:
```
PrThBi2
1.0
0.000 3.972 3.972
3.972 0.000 3.972
3.972 3.972 0.000
Pr Th Bi
1 1 2
direct
0.000 0.000 0.000 Pr
0.500 0.500 0.500 Th
0.250 0.250 0.250 Bi
0.750 0.750 0.750 Bi
```

Computed properties:
* energy of formation from the pure elements: -606 meV per atom
* offset from the most stable computed form: 171 meV per atom
* total DFT energy (no corrections): -0.411 Ry/atom
* SG: Fm-3m (225)


No. 3
Material: PrTh4Bi5
Method: DFT, PBE
State: optimized geometry

Cell and atoms, written as POSCAR:
```
PrTh4Bi5
1.0
-5.150 5.150 3.255
5.150 -5.150 3.255
5.150 5.150 -3.255
Pr Th Bi
1 4 5
direct
0.000 0.000 0.000 Pr
0.201 0.398 0.599 Th
0.398 0.799 0.198 Th
0.602 0.201 0.802 Th
0.799 0.602 0.401 Th
0.100 0.698 0.798 Bi
0.302 0.100 0.401 Bi
0.500 0.500 0.000 Bi
0.698 0.900 0.599 Bi
0.900 0.302 0.202 Bi
```

Computed properties:
* energy of formation from the pure elements: -642 meV per atom
* total DFT energy (no corrections): -0.443 Ry/atom
* SG: I4/m (87)


No. 4
Material: PrTmTh2Bi5
Method: DFT, PBE
State: optimized geometry

Cell and atoms, written as POSCAR:
```
PrTmTh2Bi5
1.0
5.573 0.000 0.000
0.000 5.573 0.000
0.000 0.000 11.733
Pr Tm Th Bi
1 1 2 5
direct
0.000 0.000 0.000 Pr
0.000 0.000 0.500 Tm
0.500 0.500 0.200 Th
0.500 0.500 0.800 Th
0.000 0.000 0.257 Bi
0.000 0.000 0.743 Bi
0.000 0.500 0.000 Bi
0.500 0.000 0.000 Bi
0.500 0.500 0.500 Bi
```

Computed properties:
* energy of formation from the pure elements: 208 meV per atom
* total DFT energy (no corrections): -0.340 Ry/atom
* SG: P4/mmm (123)


No. 5
Material: Pr2TmThBi5
Method: DFT, PBE
State: optimized geometry

Cell and atoms, written as POSCAR:
```
Pr2TmThBi5
1.0
5.772 0.000 0.000
0.000 5.772 0.000
0.000 0.000 11.830
Pr Tm Th Bi
2 1 1 5
direct
0.000 0.000 0.214 Pr
0.000 0.000 0.786 Pr
0.500 0.500 0.500 Tm
0.500 0.500 0.000 Th
0.000 0.000 0.500 Bi
0.000 0.500 0.000 Bi
0.500 0.000 0.000 Bi
0.500 0.500 0.258 Bi
0.500 0.500 0.742 Bi
```

Computed properties:
* energy of formation from the pure elements: 40 meV per atom
* total DFT energy (no corrections): -0.331 Ry/atom
* SG: P4/mmm (123)


No. 6
Material: PrYTh2Bi5
Method: DFT, PBE
State: optimized geometry

Cell and atoms, written as POSCAR:
```
PrYTh2Bi5
1.0
5.570 0.000 0.000
0.000 5.570 0.000
0.000 0.000 11.789
Pr Y Th Bi
1 1 2 5
direct
0.000 0.000 0.000 Pr
0.000 0.000 0.500 Y
0.500 0.500 0.199 Th
0.500 0.500 0.801 Th
0.000 0.000 0.256 Bi
0.000 0.000 0.744 Bi
0.000 0.500 0.000 Bi
0.500 0.000 0.000 Bi
0.500 0.500 0.500 Bi
```

Computed properties:
* energy of formation from the pure elements: 182 meV per atom
* total DFT energy (no corrections): -0.358 Ry/atom
* SG: P4/mmm (123)


No. 7
Material: PrY3Th2Bi6
Method: DFT, PBE
State: optimized geometry

Cell and atoms, written as POSCAR:
```
PrY3Th2Bi6
1.0
3.945 -6.842 0.000
3.945 6.842 0.000
-2.629 0.000 7.389
Pr Y Th Bi
1 3 2 6
direct
0.000 0.000 0.000 Pr
0.165 0.835 0.500 Y
0.500 0.500 0.500 Y
0.835 0.165 0.500 Y
0.333 0.667 0.000 Th
0.667 0.333 0.000 Th
0.086 0.422 0.259 Bi
0.249 0.249 0.742 Bi
0.422 0.086 0.259 Bi
0.578 0.914 0.741 Bi
0.751 0.751 0.258 Bi
0.914 0.578 0.741 Bi
```

Computed properties:
* energy of formation from the pure elements: -807 meV per atom
* total DFT energy (no corrections): -0.441 Ry/atom
* SG: C2/m (12)


No. 8
Material: PrTiBi2
Method: DFT, PBE
State: optimized geometry

Cell and atoms, written as POSCAR:
```
PrTiBi2
1.0
3.646 0.000 0.000
0.000 3.646 0.000
0.000 0.000 8.095
Pr Ti Bi
1 1 2
direct
0.000 0.000 0.000 Pr
0.000 0.000 0.500 Ti
0.500 0.500 0.287 Bi
0.500 0.500 0.713 Bi
```

Computed properties:
* energy of formation from the pure elements: -297 meV per atom
* offset from the most stable computed form: 0 meV per atom
* total DFT energy (no corrections): -0.397 Ry/atom
* SG: P4/mmm (123)


No. 9
Material: PrTiBi3
Method: DFT, PBE
State: optimized geometry

Cell and atoms, written as POSCAR:
```
PrTiBi3
1.0
13.635 0.000 0.000
0.000 6.624 0.000
0.000 0.000 6.393
Pr Ti Bi
4 4 12
direct
0.188 0.008 0.250 Pr
0.188 0.492 0.750 Pr
0.812 0.508 0.250 Pr
0.812 0.992 0.750 Pr
0.407 0.750 0.000 Ti
0.407 0.750 0.500 Ti
0.593 0.250 0.000 Ti
0.593 0.250 0.500 Ti
0.003 0.750 0.000 Bi
0.003 0.750 0.500 Bi
0.270 0.510 0.250 Bi
0.270 0.990 0.750 Bi
0.431 0.105 0.250 Bi
0.431 0.395 0.750 Bi
0.569 0.605 0.250 Bi
0.569 0.895 0.750 Bi
0.730 0.010 0.250 Bi
0.730 0.490 0.750 Bi
0.997 0.250 0.000 Bi
0.997 0.250 0.500 Bi
```

Computed properties:
* energy of formation from the pure elements: -484 meV per atom
* total DFT energy (no corrections): -0.393 Ry/atom
* SG: Pbcm (57)


No. 10
Material: PrTiBi2
Method: DFT, PBE
State: optimized geometry

Cell and atoms, written as POSCAR:
```
PrTiBi2
1.0
1.731 1.000 11.135
-1.731 1.000 11.135
0.000 -1.999 11.135
Pr Ti Bi
1 1 2
direct
0.000 0.000 0.000 Pr
0.500 0.500 0.500 Ti
0.100 0.100 0.100 Bi
0.900 0.900 0.900 Bi
```

Computed properties:
* energy of formation from the pure elements: 18 meV per atom
* offset from the most stable computed form: 315 meV per atom
* total DFT energy (no corrections): -0.374 Ry/atom
* SG: R-3m (166)


No. 11
Material: PrTlBi2
Method: DFT, PBE
State: optimized geometry

Cell and atoms, written as POSCAR:
```
PrTlBi2
1.0
0.000 4.012 4.012
4.012 0.000 4.012
4.012 4.012 0.000
Pr Tl Bi
1 1 2
direct
0.000 0.000 0.000 Pr
0.500 0.500 0.500 Tl
0.250 0.250 0.250 Bi
0.750 0.750 0.750 Bi
```

Computed properties:
* energy of formation from the pure elements: -297 meV per atom
* offset from the most stable computed form: 159 meV per atom
* total DFT energy (no corrections): -0.296 Ry/atom
* SG: Fm-3m (225)


No. 12
Material: PrTlBi2
Method: DFT, PBE
State: optimized geometry

Cell and atoms, written as POSCAR:
```
PrTlBi2
1.0
4.364 0.000 0.000
0.000 4.364 0.000
0.000 0.000 6.725
Pr Tl Bi
1 1 2
direct
0.000 0.000 0.000 Pr
0.000 0.000 0.500 Tl
0.500 0.500 0.236 Bi
0.500 0.500 0.764 Bi
```

Computed properties:
* energy of formation from the pure elements: -456 meV per atom
* offset from the most stable computed form: 0 meV per atom
* total DFT energy (no corrections): -0.307 Ry/atom
* SG: P4/mmm (123)